No. 1
NaLiZnGa | GGA-PBE | optimized geometry

Properties
formation enthalpy at 0 K	-112	meV/atom
ρ	3840	kg/m³
M_tot	0.00	μB/cell
uncorrected energy	-2.00	eV/atom

abc: 6.585 6.585 6.585
angles: 90.00 90.00 90.00
Sites, in units of the cell vectors:
Na 0.000 0.000 0.000
Na 0.000 0.500 0.500
Na 0.500 0.000 0.500
Na 0.500 0.500 0.000
Li 0.250 0.250 0.750
Li 0.250 0.750 0.250
Li 0.750 0.250 0.250
Li 0.750 0.750 0.750
Zn 0.250 0.250 0.250
Zn 0.250 0.750 0.750
Zn 0.750 0.250 0.750
Zn 0.750 0.750 0.250
Ga 0.000 0.000 0.500
Ga 0.000 0.500 0.000
Ga 0.500 0.000 0.000
Ga 0.500 0.500 0.500

***

No. 2
Np4Sb5 | GGA-PBE | optimized geometry

Properties
uncorrected formation energy	-291.5	meV/atom
ρ	10976	kg/m³
M_tot	30.43	μB/cell
uncorrected energy	-8.33	eV/atom

abc: 9.480 9.480 6.053
angles: 90.00 90.00 120.00
Sites, in units of the cell vectors:
Np 0.000 0.000 0.000
Np 0.000 0.000 0.500
Np 0.000 0.386 0.250
Np 0.000 0.614 0.750
Np 0.386 0.000 0.250
Np 0.386 0.386 0.750
Np 0.614 0.000 0.750
Np 0.614 0.614 0.250
Sb 0.000 0.281 0.750
Sb 0.000 0.719 0.250
Sb 0.281 0.000 0.750
Sb 0.281 0.281 0.250
Sb 0.333 0.667 0.000
Sb 0.333 0.667 0.500
Sb 0.667 0.333 0.000
Sb 0.667 0.333 0.500
Sb 0.719 0.000 0.250
Sb 0.719 0.719 0.750

***

No. 3
Ba8HPd3 | GGA-PBE | optimized geometry

Properties
ρ	4349	kg/m³
M_tot	0.32	μB/cell
uncorrected energy	-3.22	eV/atom

abc: 9.136 9.136 9.176
angles: 120.07 120.07 60.20
Sites, in units of the cell vectors:
Ba 0.243 0.243 0.255
Ba 0.243 0.748 0.760
Ba 0.252 0.757 0.240
Ba 0.253 0.253 0.744
Ba 0.747 0.747 0.256
Ba 0.748 0.243 0.760
Ba 0.757 0.252 0.240
Ba 0.757 0.757 0.745
H 0.000 0.000 0.000
Pd 0.000 0.500 0.500
Pd 0.500 0.000 0.500
Pd 0.500 0.500 0.000

***

No. 4
Ac3Cd2Ge4 | GGA-PBE | optimized geometry

Properties
formation enthalpy at 0 K	-548	meV/atom
ρ	8167	kg/m³
M_tot	0.00	μB/cell
uncorrected energy	-4.17	eV/atom

abc: 6.569 6.569 9.310
angles: 110.41 110.41 40.72
Sites, in units of the cell vectors:
Ac 0.000 0.000 0.000
Ac 0.380 0.380 0.312
Ac 0.620 0.620 0.688
Cd 0.317 0.317 0.667
Cd 0.683 0.683 0.333
Ge 0.090 0.090 0.396
Ge 0.281 0.281 0.951
Ge 0.719 0.719 0.049
Ge 0.910 0.910 0.604